No. 1
First-principles (PBE) data for an optimized crystal structure of Pm4Pr2HoEr2, as listed in Alexandria.

Cell lengths 8.1124, 8.1124, 8.0646 Å; angles 107.61, 107.61, 36.85 degrees
Closest atoms and distances in Å follow each position.
Sites, in units of the cell vectors:
Pm: 0.0555 0.0555 0.3298  2 Er 3.59-3.60, 2 Ho 3.60, 4 Pm 3.62-3.67, 4 Pr 3.63-3.65
Pm: 0.2788 0.2788 0.6702  1 Ho 3.59, 3 Er 3.59-3.61, 5 Pm 3.62-3.65, 3 Pr 3.63-3.65
Pm: 0.7212 0.7212 0.3298  1 Ho 3.59, 3 Er 3.59-3.61, 5 Pm 3.62-3.65, 3 Pr 3.63-3.65
Pm: 0.9445 0.9445 0.6702  2 Er 3.59-3.60, 2 Ho 3.60, 4 Pm 3.62-3.67, 4 Pr 3.63-3.65
Pr: 0.3883 0.3883 0.3304  3 Er 3.60, 1 Ho 3.60, 7 Pm 3.63-3.65, 1 Pr 3.65
Pr: 0.6117 0.6117 0.6696  3 Er 3.60, 1 Ho 3.60, 7 Pm 3.63-3.65, 1 Pr 3.65
Ho: 0.5000 0.5000 0.0000  6 Pm 3.59-3.60, 2 Pr 3.60, 4 Er 3.63
Er: 0.1665 0.1665 0.0002  5 Pm 3.59-3.61, 3 Pr 3.60, 2 Ho 3.63, 2 Er 3.63
Er: 0.8335 0.8335 0.9998  5 Pm 3.59-3.61, 3 Pr 3.60, 2 Ho 3.63, 2 Er 3.63

Results
As for the symmetry: C2/m (12). The formation energy comes out at 22 meV per atom. For the total energy, the calculation gives -4.6738 eV per atom. The calculation puts the magnetization at 0.000 μB/atom. Its density of states at the Fermi level is 14.41 states/eV per cell. The volume comes out at 301.7 Å³ per cell.

No. 2
First-principles (PBE) data for an optimized crystal structure of Na2HfSbSe4, as listed in Alexandria.

Cell lengths 7.2850, 3.9547, 7.3293 Å; angles 90.00, 107.88, 90.00 degrees
Closest atoms and distances in Å follow each position.
Sites, in units of the cell vectors:
Na: 0.0000 0.0000 0.0000  6 Se 3.10-3.20
Na: 0.0000 0.5000 0.5000  6 Se 2.97-3.01
Hf: 0.5000 0.0000 0.5000  6 Se 2.71-2.75
Sb: 0.5000 0.5000 0.0000  6 Se 2.89-2.92
Se: 0.2773 0.0000 0.7364  1 Hf 2.71, 2 Sb 2.89, 2 Na 2.97
Se: 0.2819 0.5000 0.2745  2 Hf 2.75, 1 Sb 2.92, 1 Na 3.01
Se: 0.7181 0.5000 0.7255  2 Hf 2.75, 1 Sb 2.92, 1 Na 3.01
Se: 0.7227 0.0000 0.2636  1 Hf 2.71, 2 Sb 2.89, 2 Na 2.97

Results
As for the symmetry: P2/m (10). As for the uncorrected formation energy: -900 meV per atom. For the total energy, the calculation gives -4.7314 eV per atom. The calculation puts the magnetization at 0.001 μB/atom. Its density of states at the Fermi level is 4.17 states/eV per cell. The volume comes out at 201.0 Å³ per cell.

No. 3
First-principles (PBE) data for an optimized crystal structure of SiPRu2, as listed in Alexandria.

Cell lengths 2.7906, 2.7906, 8.0470 Å; angles 90.00, 90.00, 116.53 degrees
Closest atoms and distances in Å follow each position.
Sites, in units of the cell vectors:
Si: 0.0000 0.0000 0.0000  2 Ru 2.35, 2 P 2.53
P: 0.5000 0.5000 0.7444  2 Ru 2.31, 2 Si 2.53
Ru: 0.0000 0.0000 0.5234  2 P 2.31
Ru: 0.5000 0.5000 0.2273  2 Si 2.35

Results
As for the symmetry: Cmm2 (35). As for the uncorrected formation energy: 238 meV per atom. For the total energy, the calculation gives -7.1086 eV per atom. The calculation puts the magnetization at 0.000 μB/atom. Its density of states at the Fermi level is 3.85 states/eV per cell. The value obtained for the energy relative to the lowest polymorph listed for this composition is 68.8 kJ/mol of atoms. The volume comes out at 56.1 Å³ per cell.

No. 4
First-principles (PBE) data for an optimized crystal structure of Pu4GaSi3, as listed in Alexandria.

Cell lengths 3.8303, 4.2457, 10.8852 Å; angles 90.00, 90.00, 90.00 degrees
Closest atoms and distances in Å follow each position.
Sites, in units of the cell vectors:
Pu: 0.0000 0.0000 0.0000  7 Si 2.99-3.17
Pu: 0.0000 0.5000 0.4917  3 Si 3.00-3.28, 4 Ga 3.01
Pu: 0.5000 0.0000 0.2967  6 Si 2.99-3.18, 1 Ga 3.06
Pu: 0.5000 0.5000 0.8001  5 Si 2.99-3.04, 2 Ga 3.22
Ga: 0.5000 0.0000 0.5775  2 Si 2.47
Si: 0.0000 0.0000 0.7208  2 Ga 2.47
Si: 0.0000 0.5000 0.2157  2 Si 2.42
Si: 0.5000 0.5000 0.0791  2 Si 2.42

Results
As for the symmetry: Pmm2 (25). As for the uncorrected formation energy: -343 meV per atom. For the total energy, the calculation gives -9.9210 eV per atom. The calculation puts the magnetization at 1.418 μB/atom. Its density of states at the Fermi level is 33.11 states/eV per cell. The volume comes out at 177.0 Å³ per cell.

No. 5
First-principles (PBE) data for an optimized crystal structure of YTa2Au, as listed in Alexandria.

Cell lengths 3.0889, 5.3220, 5.1159 Å; angles 90.00, 95.26, 90.00 degrees
Closest atoms and distances in Å follow each position.
Sites, in units of the cell vectors:
Y: 0.0000 0.0000 0.0000  4 Au 2.86-3.11, 2 Y 3.09
Ta: 0.3606 0.5000 0.7444  2 Ta 2.68-2.72, 2 Au 2.99
Ta: 0.6394 0.5000 0.2556  2 Ta 2.68-2.72, 2 Au 2.99
Au: 0.5000 0.0000 0.5000  4 Y 2.86-3.11, 4 Ta 2.99, 2 Au 3.09

Results
As for the symmetry: P2/m (10). The formation energy comes out at 152 meV per atom. For the total energy, the calculation gives -8.2098 eV per atom. The calculation puts the magnetization at 0.000 μB/atom. Its density of states at the Fermi level is 3.78 states/eV per cell. The value obtained for the energy relative to the lowest polymorph listed for this composition is 18.9 kJ/mol of atoms. The volume comes out at 83.7 Å³ per cell.

No. 6
First-principles (PBE) data for an optimized crystal structure of DySc2Ga2Ag2, as listed in Alexandria.

Cell lengths 8.8093, 8.8093, 8.8093 Å; angles 29.80, 29.80, 29.80 degrees
Closest atoms and distances in Å follow each position.
Sites, in units of the cell vectors:
Dy: 0.0000 0.0000 0.0000  6 Ag 3.23, 2 Sc 3.26, 6 Ga 3.34
Sc: 0.1294 0.1294 0.1294  4 Ga 2.87-3.07, 3 Ag 2.95
Sc: 0.8706 0.8706 0.8706  4 Ga 2.87-3.07, 3 Ag 2.95
Ga: 0.2511 0.2511 0.2511  3 Ag 2.62, 3 Sc 2.87
Ga: 0.7489 0.7489 0.7489  3 Ag 2.62, 3 Sc 2.87
Ag: 0.4084 0.4084 0.4084  3 Ga 2.62
Ag: 0.5916 0.5916 0.5916  3 Ga 2.62

Results
As for the symmetry: R-3m (166). The formation energy comes out at -369 meV per atom. For the total energy, the calculation gives -4.5148 eV per atom. The calculation puts the magnetization at 0.000 μB/atom. Its density of states at the Fermi level is 3.38 states/eV per cell. The volume comes out at 149.5 Å³ per cell.

Q: Among the records above, which one has the lowest total energy?
A: Pu4GaSi3